# 1
Below is crystalline KAl2H8 at its relaxed geometry, with properties calculated at the PBE level.

Calculated values
Space group: C2/m (12)
Excess energy over the best structure of this formula in the dataset in meV per atom: 137
D(E_F) in states/eV per atom: 0.01

Unit cell a=6.143 b=6.143 c=5.682 alpha=101.34 beta=101.34 gamma=39.15
Positions (direct):
1 K 0.000 0.000 0.000
2 Al 0.250 0.250 0.719
3 Al 0.750 0.750 0.281
4 H 0.119 0.512 0.151
5 H 0.193 0.193 0.427
6 H 0.392 0.392 0.790
7 H 0.488 0.881 0.849
8 H 0.512 0.119 0.151
9 H 0.608 0.608 0.210
10 H 0.807 0.807 0.573
11 H 0.881 0.488 0.849

***

# 2
Below is crystalline RhSe at its relaxed geometry, with properties calculated at the PBE level.

Calculated values
Final energy in eV/atom: -5.00
Space group: P6_3/mmc (194)
D(E_F) in states/eV per atom: 0.83

Unit cell a=4.224 b=4.224 c=10.166 alpha=90.00 beta=90.00 gamma=120.00
Positions (direct):
1 Rh 0.000 0.000 0.250
2 Rh 0.000 0.000 0.750
3 Rh 0.333 0.667 0.250
4 Rh 0.667 0.333 0.750
5 Se 0.333 0.667 0.607
6 Se 0.333 0.667 0.893
7 Se 0.667 0.333 0.107
8 Se 0.667 0.333 0.393

***

# 3
Below is crystalline Sc5Al at its relaxed geometry, with properties calculated at the PBE level.

Calculated values
E_form in eV/f.u.: -0.72
Space group: Amm2 (38)
Excess energy over the best structure of this formula in the dataset in meV per atom: 23
D(E_F) in states/eV per atom: 1.28

Unit cell a=5.014 b=8.504 c=8.504 alpha=22.14 beta=90.00 gamma=90.00
Positions (direct):
1 Sc 0.000 0.000 0.000
2 Sc 0.000 0.324 0.324
3 Sc 0.000 0.666 0.666
4 Sc 0.500 0.115 0.115
5 Sc 0.500 0.442 0.442
6 Al 0.500 0.773 0.773

***

# 4
Below is crystalline BeAs2Pt at its relaxed geometry, with properties calculated at the PBE level.

Calculated values
E_form in eV/f.u.: 1.29
Space group: F-43m (216)
D(E_F) in states/eV per atom: 0.45

Unit cell a=4.476 b=4.476 c=4.476 alpha=60.00 beta=60.00 gamma=60.00
Positions (direct):
1 Be 0.000 0.000 0.000
2 As 0.500 0.500 0.500
3 As 0.750 0.750 0.750
4 Pt 0.250 0.250 0.250

***

# 5
Below is crystalline Tl3In2 at its relaxed geometry, with properties calculated at the PBE level.

Calculated values
E_form in eV/f.u.: 0.07
Space group: R-3m (166)
Excess energy over the best structure of this formula in the dataset in meV per atom: 0
D(E_F) in states/eV per atom: 0.48

Unit cell a=14.201 b=14.201 c=14.201 alpha=13.98 beta=13.98 gamma=13.98
Positions (direct):
1 Tl 0.000 0.000 0.000
2 Tl 0.201 0.201 0.201
3 Tl 0.799 0.799 0.799
4 In 0.399 0.399 0.399
5 In 0.601 0.601 0.601

***

# 6
Below is crystalline Pm4Ni3Rh at its relaxed geometry, with properties calculated at the PBE level.

Calculated values
E_form in eV/f.u.: -3.56
Space group: Pmm2 (25)
D(E_F) in states/eV per atom: 0.79

Unit cell a=3.850 b=4.283 c=10.638 alpha=90.00 beta=90.00 gamma=90.00
Positions (direct):
1 Pm 0.000 0.000 0.000
2 Pm 0.000 0.500 0.275
3 Pm 0.500 0.000 0.499
4 Pm 0.500 0.500 0.778
5 Ni 0.000 0.500 0.557
6 Ni 0.500 0.000 0.207
7 Ni 0.500 0.500 0.070
8 Rh 0.000 0.000 0.719

***

# 7
Below is crystalline TiMnCuTc2 at its relaxed geometry, with properties calculated at the PBE level.

Calculated values
E_form in eV/f.u.: 8.31
Space group: P4/mmm (123)
Excess energy over the best structure of this formula in the dataset in meV per atom: 247
D(E_F) in states/eV per atom: 1.49

Unit cell a=4.447 b=4.447 c=4.408 alpha=90.00 beta=90.00 gamma=90.00
Positions (direct):
1 Ti 0.000 0.000 0.000
2 Mn 0.500 0.500 0.500
3 Cu 0.000 0.000 0.500
4 Tc 0.000 0.500 0.000
5 Tc 0.500 0.000 0.000

***

# 8
Below is crystalline CsHgH3 at its relaxed geometry, with properties calculated at the PBE level.

Calculated values
Space group: R3c (161)
Excess energy over the best structure of this formula in the dataset in meV per atom: 0
D(E_F) in states/eV per atom: 0.00

Unit cell a=7.166 b=7.166 c=7.166 alpha=54.31 beta=54.31 gamma=54.31
Positions (direct):
1 Cs 0.000 0.000 0.000
2 Cs 0.500 0.500 0.500
3 Hg 0.211 0.211 0.211
4 Hg 0.711 0.711 0.711
5 H 0.018 0.550 0.551
6 H 0.050 0.518 0.051
7 H 0.051 0.050 0.518
8 H 0.518 0.051 0.050
9 H 0.550 0.551 0.018
10 H 0.551 0.018 0.550

***

# 9
Below is crystalline CsGePbAu3 at its relaxed geometry, with properties calculated at the PBE level.

Calculated values
E_form in eV/f.u.: -1.05
Space group: P2_1/m (11)
D(E_F) in states/eV per atom: 0.28

Unit cell a=8.021 b=4.774 c=9.193 alpha=90.00 beta=105.32 gamma=90.00
Positions (direct):
1 Cs 0.183 0.250 0.172
2 Cs 0.817 0.750 0.828
3 Ge 0.461 0.250 0.865
4 Ge 0.539 0.750 0.135
5 Pb 0.192 0.750 0.530
6 Pb 0.808 0.250 0.470
7 Au 0.134 0.250 0.708
8 Au 0.313 0.750 0.868
9 Au 0.496 0.250 0.591
10 Au 0.504 0.750 0.409
11 Au 0.687 0.250 0.132
12 Au 0.866 0.750 0.292

***

# 10
Below is crystalline Na8B13C3 at its relaxed geometry, with properties calculated at the PBE level.

Calculated values
E_form in eV/f.u.: 5.38
Space group: Cmm2 (35)
Excess energy over the best structure of this formula in the dataset in meV per atom: 42
D(E_F) in states/eV per atom: 0.19

Unit cell a=9.096 b=9.096 c=5.112 alpha=90.00 beta=90.00 gamma=142.28
Positions (direct):
1 Na 0.124 0.876 0.000
2 Na 0.126 0.374 0.502
3 Na 0.374 0.126 0.502
4 Na 0.375 0.625 0.002
5 Na 0.625 0.375 0.002
6 Na 0.626 0.874 0.502
7 Na 0.874 0.626 0.502
8 Na 0.876 0.124 0.000
9 B 0.000 0.000 0.341
10 B 0.000 0.000 0.682
11 B 0.000 0.500 0.166
12 B 0.000 0.500 0.837
13 B 0.250 0.750 0.337
14 B 0.250 0.750 0.666
15 B 0.263 0.263 0.155
16 B 0.500 0.000 0.166
17 B 0.500 0.000 0.837
18 B 0.500 0.500 0.664
19 B 0.737 0.737 0.155
20 B 0.750 0.250 0.337
21 B 0.750 0.250 0.666
22 C 0.256 0.256 0.837
23 C 0.500 0.500 0.334
24 C 0.744 0.744 0.837

***

# 11
Below is crystalline ErTm3As4 at its relaxed geometry, with properties calculated at the PBE level.

Calculated values
E_form in eV/f.u.: -12.10
Space group: Pm-3m (221)
Excess energy over the best structure of this formula in the dataset in meV per atom: 0
D(E_F) in states/eV per atom: 0.09

Unit cell a=5.749 b=5.749 c=5.749 alpha=90.00 beta=90.00 gamma=90.00
Positions (direct):
1 Er 0.000 0.000 0.000
2 Tm 0.000 0.500 0.500
3 Tm 0.500 0.000 0.500
4 Tm 0.500 0.500 0.000
5 As 0.000 0.000 0.500
6 As 0.000 0.500 0.000
7 As 0.500 0.000 0.000
8 As 0.500 0.500 0.500

***

# 12
Below is crystalline BaSn2Rh2 at its relaxed geometry, with properties calculated at the PBE level.

Calculated values
E_form in eV/f.u.: -2.93
Space group: Fddd (70)
D(E_F) in states/eV per atom: 0.66

Unit cell a=9.023 b=7.669 c=6.589 alpha=78.11 beta=56.28 gamma=45.61
Positions (direct):
1 Ba 0.125 0.125 0.125
2 Ba 0.875 0.875 0.875
3 Sn 0.191 0.559 0.191
4 Sn 0.441 0.809 0.441
5 Sn 0.559 0.191 0.559
6 Sn 0.809 0.441 0.809
7 Rh 0.263 0.263 0.487
8 Rh 0.487 0.487 0.263
9 Rh 0.513 0.513 0.737
10 Rh 0.737 0.737 0.513

***

# 13
Below is crystalline TbHoScAg at its relaxed geometry, with properties calculated at the PBE level.

Calculated values
E_form in eV/f.u.: -0.45
Space group: P4mm (99)
Excess energy over the best structure of this formula in the dataset in meV per atom: 0
D(E_F) in states/eV per atom: 1.54

Unit cell a=3.520 b=3.520 c=8.460 alpha=90.00 beta=90.00 gamma=90.00
Positions (direct):
1 Tb 0.000 0.000 0.000
2 Ho 0.000 0.000 0.542
3 Sc 0.500 0.500 0.272
4 Ag 0.500 0.500 0.766

***

# 14
Below is crystalline TiAgIO5 at its relaxed geometry, with properties calculated at the PBE level.

Calculated values
Final energy in eV/atom: -5.76
Space group: C2/c (15)

Unit cell a=5.800 b=5.800 c=7.805 alpha=106.71 beta=106.71 gamma=100.89
Positions (direct):
1 Ti 0.000 0.000 0.000
2 Ti 0.000 0.000 0.500
3 Ag 0.329 0.671 0.750
4 Ag 0.671 0.329 0.250
5 I 0.287 0.713 0.250
6 I 0.713 0.287 0.750
7 O 0.011 0.989 0.250
8 O 0.151 0.721 0.470
9 O 0.250 0.367 0.126
10 O 0.279 0.849 0.030
11 O 0.367 0.250 0.626
12 O 0.633 0.750 0.374
13 O 0.721 0.151 0.970
14 O 0.750 0.633 0.874
15 O 0.849 0.279 0.530
16 O 0.989 0.011 0.750

***

# 15
Below is crystalline InFe2Ag at its relaxed geometry, with properties calculated at the PBE level.

Calculated values
E_form in eV/f.u.: 1.54
Space group: P4/mmm (123)
D(E_F) in states/eV per atom: 0.78

Unit cell a=2.834 b=2.834 c=7.907 alpha=90.00 beta=90.00 gamma=90.00
Positions (direct):
1 In 0.000 0.000 0.000
2 Fe 0.500 0.500 0.256
3 Fe 0.500 0.500 0.744
4 Ag 0.000 0.000 0.500

***

# 16
Below is crystalline BeNiRu2 at its relaxed geometry, with properties calculated at the PBE level.

Calculated values
E_form in eV/f.u.: -0.47
Space group: Imm2 (44)
D(E_F) in states/eV per atom: 0.63

Unit cell a=4.716 b=4.716 c=4.716 alpha=144.83 beta=129.06 gamma=63.42
Positions (direct):
1 Be 0.000 0.000 0.000
2 Ni 0.210 0.710 0.500
3 Ru 0.485 0.485 0.000
4 Ru 0.758 0.258 0.500

***

# 17
Below is crystalline MgZnTcSeO at its relaxed geometry, with properties calculated at the PBE level.

Calculated values
Space group: Amm2 (38)
Excess energy over the best structure of this formula in the dataset in meV per atom: 288
D(E_F) in states/eV per atom: 0.30

Unit cell a=3.304 b=6.821 c=6.821 alpha=35.91 beta=90.00 gamma=90.00
Positions (direct):
1 Mg 0.000 0.000 0.000
2 Zn 0.000 0.719 0.719
3 Tc 0.500 0.226 0.226
4 Se 0.000 0.373 0.373
5 O 0.500 0.073 0.073

***

# 18
Below is crystalline BeTe2AsN at its relaxed geometry, with properties calculated at the PBE level.

Calculated values
Space group: P4/mmm (123)
Excess energy over the best structure of this formula in the dataset in meV per atom: 657
D(E_F) in states/eV per atom: 0.60

Unit cell a=5.564 b=5.564 c=3.593 alpha=90.00 beta=90.00 gamma=90.00
Positions (direct):
1 Be 0.000 0.000 0.000
2 Te 0.000 0.500 0.500
3 Te 0.500 0.000 0.500
4 As 0.500 0.500 0.500
5 N 0.500 0.500 0.000

***

# 19
Below is crystalline TmThTi4 at its relaxed geometry, with properties calculated at the PBE level.

Calculated values
E_form in eV/f.u.: 1.22
Space group: F-43m (216)
D(E_F) in states/eV per atom: 1.67

Unit cell a=5.700 b=5.700 c=5.700 alpha=60.00 beta=60.00 gamma=60.00
Positions (direct):
1 Tm 0.000 0.000 0.000
2 Th 0.750 0.750 0.750
3 Ti 0.376 0.376 0.376
4 Ti 0.376 0.376 0.873
5 Ti 0.376 0.873 0.376
6 Ti 0.873 0.376 0.376

***

# 20
Below is crystalline Pr8In2Ir at its relaxed geometry, with properties calculated at the PBE level.

Calculated values
E_form in eV/f.u.: -3.25
Space group: Immm (71)
D(E_F) in states/eV per atom: 1.12

Unit cell a=9.558 b=9.558 c=9.558 alpha=145.45 beta=135.74 gamma=57.33
Positions (direct):
1 Pr 0.136 0.373 0.762
2 Pr 0.197 0.197 0.000
3 Pr 0.243 0.000 0.243
4 Pr 0.389 0.627 0.762
5 Pr 0.611 0.373 0.238
6 Pr 0.757 0.000 0.757
7 Pr 0.803 0.803 0.000
8 Pr 0.864 0.627 0.238
9 In 0.315 0.815 0.500
10 In 0.685 0.185 0.500
11 Ir 0.000 0.500 0.500